Mg3Al3Pd2, relaxed, DFT PBE; calculated volume = 592 Å³ per cell; total energy = -3.758 eV per atom; DFT formation energy = -3.7 eV/f.u.
1.0
7.225 0.000 0.000
0.000 15.467 0.000
0.000 0.000 5.298
Mg Al Pd
12 12 8
Direct
0.024 0.116 0.100
0.024 0.384 0.100
0.169 0.250 0.640
0.331 0.750 0.140
0.476 0.616 0.600
0.476 0.884 0.600
0.524 0.116 0.400
0.524 0.384 0.400
0.669 0.250 0.860
0.831 0.750 0.360
0.976 0.616 0.900
0.976 0.884 0.900
0.175 0.030 0.603
0.175 0.470 0.603
0.175 0.750 0.647
0.325 0.250 0.147
0.325 0.530 0.103
0.325 0.970 0.103
0.675 0.030 0.897
0.675 0.470 0.897
0.675 0.750 0.853
0.825 0.250 0.353
0.825 0.530 0.397
0.825 0.970 0.397
0.123 0.616 0.395
0.123 0.884 0.395
0.377 0.116 0.895
0.377 0.384 0.895
0.623 0.616 0.105
0.623 0.884 0.105
0.877 0.116 0.605
0.877 0.384 0.605

CaLaAlSn, relaxed, DFT PBE; calculated volume = 113 Å³ per cell; total energy = -4.120 eV per atom; DFT formation energy = -1.8 eV/f.u.
1.0
0.000 3.834 3.834
3.834 0.000 3.834
3.834 3.834 0.000
Ca La Al Sn
1 1 1 1
Direct
0.000 0.000 0.000
0.500 0.500 0.500
0.750 0.750 0.750
0.250 0.250 0.250

BaNa2AgO4, relaxed, DFT PBE; calculated volume = 261 Å³ per cell; total energy = -4.548 eV per atom; formation energy (no corrections) = -1142 meV/atom
1.0
5.578 -4.270 0.000
5.578 4.270 0.000
-4.524 0.000 5.481
Ba Na Ag O
2 4 2 8
Direct
0.000 0.500 0.000
0.500 0.000 0.500
0.000 0.000 0.000
0.000 0.000 0.500
0.000 0.500 0.500
0.500 0.000 0.000
0.500 0.500 0.000
0.500 0.500 0.500
0.264 0.265 0.266
0.264 0.736 0.004
0.264 0.736 0.496
0.265 0.264 0.766
0.735 0.736 0.234
0.736 0.264 0.504
0.736 0.264 0.996
0.736 0.735 0.734